DFT (PBE) results for a relaxed structure of LaPm6Pr12.

Cell lengths 8.8345, 8.8345, 8.8345 Å; angles 89.07, 89.07, 89.07 degrees
Fractional coordinates of all 19 atoms:
La (0.0000, 0.0000, 0.0000)
Pm (0.0968, 0.6990, 0.2608)
Pm (0.2608, 0.0968, 0.6990)
Pm (0.3010, 0.7392, 0.9032)
Pm (0.6990, 0.2608, 0.0968)
Pm (0.7392, 0.9032, 0.3010)
Pm (0.9032, 0.3010, 0.7392)
Pr (0.0176, 0.1940, 0.3619)
Pr (0.1940, 0.3619, 0.0176)
Pr (0.2194, 0.4644, 0.5662)
Pr (0.3619, 0.0176, 0.1940)
Pr (0.4338, 0.7806, 0.5356)
Pr (0.4644, 0.5662, 0.2194)
Pr (0.5356, 0.4338, 0.7806)
Pr (0.5662, 0.2194, 0.4644)
Pr (0.6381, 0.9824, 0.8060)
Pr (0.7806, 0.5356, 0.4338)
Pr (0.8060, 0.6381, 0.9824)
Pr (0.9824, 0.8060, 0.6381)

Results
The calculation puts the formation enthalpy at 0 K at 0.12 eV/atom. The total magnetic moment is 0.00 μB/cell. For the distance to the lowest polymorph of the same formula, the calculation gives 0.0 meV per atom.